8
Lattice="-2.2947 2.2947 4.5930 2.2947 -2.2947 4.5930 2.2947 2.2947 -4.5930" Properties=species:S:1:pos:R:3 comment="OsRuC2 (PBE, optimized geometry)" relative_energy_ev_per_fu=0.00 e_form_ev_per_atom=0.568 space_group=I-42d pbc="T T T"
Os 0.0000 0.0000 0.0000
Os 0.0000 2.2947 2.2965
Ru 2.2947 0.0000 2.2965
Ru 0.0000 0.0000 4.5930
C 3.4420 1.1299 -1.1482
C 1.1299 1.1473 1.1482
C -1.1473 1.1648 3.4447
C 1.1648 1.1473 5.7412